Entry 1:
# Sc2TcSe

A PBEsol-optimized structure of Sc2TcSe (SCAN, Alexandria).

a = 4.545 Å, b = 4.545 Å, c = 4.545 Å
α = 60.00°, β = 60.00°, γ = 60.00°
Fractional coordinates of all 4 atoms:
Sc1 0.000 0.000 0.000
Sc2 0.250 0.250 0.250
Tc1 0.500 0.500 0.500
Se1 0.750 0.750 0.750

Entry 2:
# ScTcSe

A PBEsol-optimized structure of ScTcSe (SCAN, Alexandria).

Summary:
Energy relative to the lowest polymorph listed for this composition: 731.5 meV/atom

a = 4.308 Å, b = 4.308 Å, c = 4.308 Å
α = 60.00°, β = 60.00°, γ = 60.00°
Fractional coordinates of all 3 atoms:
Sc1 0.000 0.000 0.000
Tc1 0.250 0.250 0.250
Se1 0.750 0.750 0.750

Entry 3:
# Sc2TcSe

A PBEsol-optimized structure of Sc2TcSe (SCAN, Alexandria).

a = 4.765 Å, b = 4.765 Å, c = 4.765 Å
α = 126.41°, β = 126.41°, γ = 79.22°
Fractional coordinates of all 4 atoms:
Sc1 0.250 0.750 0.500
Sc2 0.750 0.250 0.500
Tc1 0.000 0.000 0.000
Se1 0.500 0.500 0.000

Entry 4:
# Sc2TcSe

A PBEsol-optimized structure of Sc2TcSe (SCAN, Alexandria).

a = 3.134 Å, b = 3.134 Å, c = 7.561 Å
α = 90.00°, β = 90.00°, γ = 90.00°
Fractional coordinates of all 4 atoms:
Sc1 0.000 0.000 0.000
Sc2 0.500 0.500 0.329
Tc1 0.500 0.500 0.752
Se1 0.000 0.000 0.589

Entry 5:
# ScTeSe

A PBEsol-optimized structure of ScTeSe (SCAN, Alexandria).

a = 4.849 Å, b = 4.849 Å, c = 4.849 Å
α = 60.00°, β = 60.00°, γ = 60.00°
Fractional coordinates of all 3 atoms:
Sc1 0.000 0.000 0.000
Te1 0.750 0.750 0.750
Se1 0.500 0.500 0.500

Entry 6:
# ScTeSe2

A PBEsol-optimized structure of ScTeSe2 (SCAN, Alexandria).

a = 3.591 Å, b = 3.591 Å, c = 6.673 Å
α = 90.00°, β = 90.00°, γ = 90.00°
Fractional coordinates of all 4 atoms:
Sc1 0.000 0.000 0.000
Te1 0.500 0.500 0.711
Se1 0.000 0.000 0.430
Se2 0.500 0.500 0.139

Entry 7:
# ScTe2Se

A PBEsol-optimized structure of ScTe2Se (SCAN, Alexandria).

a = 5.048 Å, b = 4.235 Å, c = 6.001 Å
α = 90.00°, β = 114.75°, γ = 90.00°
Fractional coordinates of all 4 atoms:
Sc1 0.000 0.000 0.000
Te1 0.187 0.500 0.375
Te2 0.813 0.500 0.625
Se1 0.500 0.000 0.000

Entry 8:
# ScTeSe2

A PBEsol-optimized structure of ScTeSe2 (SCAN, Alexandria).

a = 3.461 Å, b = 3.461 Å, c = 7.218 Å
α = 90.00°, β = 90.00°, γ = 90.00°
Fractional coordinates of all 4 atoms:
Sc1 0.000 0.000 0.000
Te1 0.000 0.000 0.500
Se1 0.500 0.500 0.186
Se2 0.500 0.500 0.814

Entry 9:
# ScTeSe2

A PBEsol-optimized structure of ScTeSe2 (SCAN, Alexandria).

a = 3.895 Å, b = 3.954 Å, c = 6.006 Å
α = 90.00°, β = 90.00°, γ = 90.00°
Fractional coordinates of all 4 atoms:
Sc1 0.000 0.000 0.000
Te1 0.500 0.000 0.500
Se1 0.000 0.500 0.500
Se2 0.500 0.500 0.000

Entry 10:
# ScTiSe2

A PBEsol-optimized structure of ScTiSe2 (SCAN, Alexandria).

Summary:
Energy relative to the lowest polymorph listed for this composition: 0.0 meV/atom

a = 7.207 Å, b = 7.207 Å, c = 7.207 Å
α = 132.59°, β = 132.59°, γ = 69.30°
Fractional coordinates of all 8 atoms:
Sc1 0.000 0.000 0.000
Sc2 0.750 0.250 0.500
Ti1 0.250 0.750 0.500
Ti2 0.500 0.500 0.000
Se1 0.141 0.625 0.016
Se2 0.375 0.391 0.516
Se3 0.609 0.125 0.984
Se4 0.875 0.859 0.484

Entry 11:
# ScTiSe2

A PBEsol-optimized structure of ScTiSe2 (SCAN, Alexandria).

Summary:
Energy relative to the lowest polymorph listed for this composition: 110.5 meV/atom

a = 8.417 Å, b = 8.417 Å, c = 8.417 Å
α = 25.08°, β = 25.08°, γ = 25.08°
Fractional coordinates of all 4 atoms:
Sc1 0.000 0.000 0.000
Ti1 0.500 0.500 0.500
Se1 0.399 0.399 0.399
Se2 0.601 0.601 0.601

Entry 12:
# ScTlSe2

A PBEsol-optimized structure of ScTlSe2 (SCAN, Alexandria).

a = 6.776 Å, b = 6.776 Å, c = 6.776 Å
α = 113.38°, β = 113.38°, γ = 101.92°
Fractional coordinates of all 8 atoms:
Sc1 0.000 0.000 0.000
Sc2 0.750 0.250 0.500
Tl1 0.250 0.750 0.500
Tl2 0.500 0.500 0.000
Se1 0.061 0.125 0.436
Se2 0.375 0.939 0.064
Se3 0.689 0.625 0.564
Se4 0.875 0.311 0.936

The formation energy from raw total energies results, record by record, are as follows: -0.186, 0.249, -0.429, -0.308, -0.337, -0.684, -0.831, -0.803, -0.681, -1.106, -0.996, -1.193 eV per atom.